# Er5ScAu6

An optimized crystal structure of Er5ScAu6 (PBE, the Alexandria database).

Lattice parameters (Å, degrees): 8.6827 8.6827 4.9980 106.68 106.68 120.04
With the nearest neighbours (Å) after each atom.
Fractional coordinates of all 12 atoms:
Er1 0.0000 0.0000 0.0000  8 Au 3.05-3.12
Er2 0.1658 0.8342 0.5000  8 Au 3.09-3.11
Er3 0.3326 0.6674 0.0000  8 Au 3.03-3.14
Er4 0.6674 0.3326 0.0000  8 Au 3.03-3.14
Er5 0.8342 0.1658 0.5000  8 Au 3.09-3.11
Sc1 0.5000 0.5000 0.5000  8 Au 3.00-3.02
Au1 0.0935 0.4191 0.2563  1 Sc 3.00, 7 Er 3.04-3.14
Au2 0.2618 0.2618 0.7615  2 Sc 3.01-3.02, 6 Er 3.03-3.12
Au3 0.4191 0.0935 0.2563  1 Sc 3.00, 7 Er 3.04-3.14
Au4 0.5809 0.9065 0.7437  1 Sc 3.00, 7 Er 3.04-3.14
Au5 0.7382 0.7382 0.2385  2 Sc 3.01-3.02, 6 Er 3.03-3.12
Au6 0.9065 0.5809 0.7437  1 Sc 3.00, 7 Er 3.04-3.14

Computed properties:
Its space group is C2/m (12). The formation energy is -862.5 meV/atom. Its density of states at the Fermi level is 5.85 states/eV/f.u. The calculation puts the raw total energy at -0.181 hartree per atom.

***

# Dy5Er4In

An optimized crystal structure of Dy5Er4In (PBE, the Alexandria database).

Lattice parameters (Å, degrees): 7.9817 7.9817 7.9817 97.50 97.50 137.64
With the nearest neighbours (Å) after each atom.
Fractional coordinates of all 10 atoms:
Dy1 0.0000 0.0000 0.0000  2 In 2.78-2.99
Dy2 0.1002 0.1002 0.6279  1 In 3.08, 1 Dy 3.22, 2 Er 3.30
Dy3 0.1002 0.4723 0.0000  1 In 3.08, 1 Dy 3.22, 2 Er 3.30
Dy4 0.4723 0.1002 0.0000  1 In 3.08, 1 Dy 3.22, 2 Er 3.30
Dy5 0.4723 0.4723 0.3721  1 In 3.08, 1 Dy 3.22, 2 Er 3.30
Er1 0.1070 0.7906 0.3164  3 Dy 3.30-3.54, 1 In 3.68
Er2 0.4742 0.7906 0.6836  3 Dy 3.30-3.54, 1 In 3.68
Er3 0.7906 0.1070 0.3164  3 Dy 3.30-3.54, 1 In 3.68
Er4 0.7906 0.4742 0.6836  3 Dy 3.30-3.54, 1 In 3.68
In1 0.5180 0.5180 0.0000  6 Dy 2.78-3.08

Computed properties:
The calculation puts the energy relative to the lowest polymorph listed for this composition at 214 meV/atom. Its space group is I4mm (107). The formation energy is 136.8 meV/atom. Its density of states at the Fermi level is 13.56 states/eV/f.u. The calculation puts the raw total energy at -0.157 hartree per atom.

***

# KCd2Se

An optimized crystal structure of KCd2Se (PBE, the Alexandria database).

Lattice parameters (Å, degrees): 5.1303 5.1303 7.7675 116.20 116.20 48.55
With the nearest neighbours (Å) after each atom.
Fractional coordinates of all 4 atoms:
K1 0.0000 0.0000 0.0000  3 Se 3.25-3.30
Cd1 0.1500 0.1500 0.6278  3 Cd 2.90-2.98, 1 Se 3.16
Cd2 0.3941 0.3941 0.5002  2 Se 2.72, 3 Cd 2.90-2.98
Se1 0.8029 0.8029 0.2480  2 Cd 2.72

Computed properties:
Its space group is Cm (8). Its density of states at the Fermi level is 1.46 states/eV/f.u. The calculation puts the raw total energy at -0.073 hartree per atom.

***

# NdDySc2

An optimized crystal structure of NdDySc2 (PBE, the Alexandria database).

Lattice parameters (Å, degrees): 4.9646 4.9646 4.6429 90.00 90.00 90.00
With the nearest neighbours (Å) after each atom.
Fractional coordinates of all 4 atoms:
Nd1 0.0000 0.0000 0.0000  8 Sc 3.40, 4 Dy 3.51
Dy1 0.5000 0.5000 0.0000  8 Sc 3.40, 4 Nd 3.51
Sc1 0.0000 0.5000 0.5000  4 Dy 3.40, 4 Nd 3.40, 4 Sc 3.51
Sc2 0.5000 0.0000 0.5000  4 Dy 3.40, 4 Nd 3.40, 4 Sc 3.51

Computed properties:
The calculation puts the energy relative to the lowest polymorph listed for this composition at 0 meV/atom. Its space group is P4/mmm (123). The formation energy is 55.2 meV/atom. Its density of states at the Fermi level is 6.87 states/eV/f.u. The calculation puts the raw total energy at -0.200 hartree per atom.

***

# SrTlBr2

An optimized crystal structure of SrTlBr2 (PBE, the Alexandria database).

Lattice parameters (Å, degrees): 6.0176 5.7209 5.7209 51.79 90.00 90.00
With the nearest neighbours (Å) after each atom.
Fractional coordinates of all 4 atoms:
Sr1 0.0000 0.0000 0.0000  5 Br 3.08-3.20
Tl1 0.5000 0.3745 0.3745  3 Br 3.16-3.21
Br1 0.0000 0.6946 0.6946  3 Sr 3.14-3.20
Br2 0.5000 0.0625 0.0625  2 Sr 3.08, 3 Tl 3.16-3.21

Computed properties:
The calculation puts the energy relative to the lowest polymorph listed for this composition at 138 meV/atom. Its space group is Amm2 (38). Its density of states at the Fermi level is 0.96 states/eV/f.u. The calculation puts the raw total energy at -0.112 hartree per atom.

***

# Tl2AgRu

An optimized crystal structure of Tl2AgRu (PBE, the Alexandria database).

Lattice parameters (Å, degrees): 4.9123 4.9123 4.9123 60.00 60.00 60.00
With the nearest neighbours (Å) after each atom.
Fractional coordinates of all 4 atoms:
Tl1 0.0000 0.0000 0.0000  4 Ag 3.01, 4 Tl 3.01
Tl2 0.2500 0.2500 0.2500  4 Tl 3.01, 4 Ru 3.01
Ag1 0.7500 0.7500 0.7500  4 Tl 3.01, 4 Ru 3.01
Ru1 0.5000 0.5000 0.5000  4 Ag 3.01, 4 Tl 3.01

Computed properties:
The calculation puts the energy relative to the lowest polymorph listed for this composition at 312 meV/atom. Its space group is F-43m (216). The formation energy is 694.2 meV/atom. Its density of states at the Fermi level is 3.77 states/eV/f.u. The calculation puts the raw total energy at -0.129 hartree per atom.

***

The lowest raw total energy belongs to which entry? NdDySc2